16
Lattice="6.747 0.000 0.000 0.000 6.747 0.000 0.000 0.000 6.747" Properties=species:S:1:pos:R:3 comment="GGA-PBE KAsPt2, relaxed" ef_mev_per_atom=394 total_energy_ev_per_atom=-4.06 dos_ef_per_ev_cell=11.1 pbc="T T T"
K 0.000 0.000 0.000
K 0.000 3.374 3.374
K 3.374 0.000 3.374
K 3.374 3.374 0.000
As 1.687 1.687 5.060
As 1.687 5.060 1.687
As 5.060 1.687 1.687
As 5.060 5.060 5.060
Pt 0.000 0.000 3.374
Pt 0.000 3.374 0.000
Pt 1.687 1.687 1.687
Pt 1.687 5.060 5.060
Pt 3.374 0.000 0.000
Pt 3.374 3.374 3.374
Pt 5.060 1.687 5.060
Pt 5.060 5.060 1.687